# KCo2Br

KCo2Br after structural relaxation (PBE, Alexandria).

Values from the calculation:
Size of the total moment   7.60 Bohr magnetons per cell
VASP energy   -4.01 eV/atom
Formation energy from raw total energies   0.96 eV per formula unit
Relative energy among the computed polymorphs   19.5 meV per atom

CIF file:
```
data_KCo2Br
_space_group_name_H-M_alt 'C 1 m 1'
_space_group_IT_number 8
_space_group_name_Hall 'C -2y'
_cell_length_a 6.3543
_cell_length_b 3.6655
_cell_length_c 7.9462
_cell_angle_alpha 90.00
_cell_angle_beta 105.65
_cell_angle_gamma 90.00
loop_
_atom_site_label
_atom_site_type_symbol
_atom_site_fract_x
_atom_site_fract_y
_atom_site_fract_z
K1 K 0.0000 0.0000 0.0000
Co1 Co 0.0550 0.5000 0.6689
Co2 Co 0.1823 0.0000 0.5522
Br1 Br 0.2743 0.5000 0.3185
```

# CdBSb2Te

CdBSb2Te after structural relaxation (PBE, Alexandria).

Values from the calculation:
Size of the total moment   0.00 Bohr magnetons per cell
VASP energy   -3.13 eV/atom
Formation energy from raw total energies   3.32 eV per formula unit
Relative energy among the computed polymorphs   0.0 meV per atom

CIF file:
```
data_CdBSb2Te
_space_group_name_H-M_alt 'P 4/m m m'
_space_group_IT_number 123
_space_group_name_Hall '-P 4 2'
_cell_length_a 4.9444
_cell_length_b 4.9444
_cell_length_c 4.8846
_cell_angle_alpha 90.00
_cell_angle_beta 90.00
_cell_angle_gamma 90.00
loop_
_atom_site_label
_atom_site_type_symbol
_atom_site_fract_x
_atom_site_fract_y
_atom_site_fract_z
Cd1 Cd 0.0000 0.0000 0.0000
B1 B 0.5000 0.5000 0.5000
Sb1 Sb 0.0000 0.5000 0.5000
Te1 Te 0.5000 0.5000 0.0000
```

# Ca4PrPd5

Ca4PrPd5 after structural relaxation (PBE, Alexandria).

Values from the calculation:
Size of the total moment   0.00 Bohr magnetons per cell
ΔE_f   -695 meV per atom
VASP energy   -4.57 eV/atom

CIF file:
```
data_Ca4PrPd5
_space_group_name_H-M_alt 'P 4/m m m'
_space_group_IT_number 123
_space_group_name_Hall '-P 4 2'
_cell_length_a 3.5739
_cell_length_b 3.5739
_cell_length_c 17.6745
_cell_angle_alpha 90.00
_cell_angle_beta 90.00
_cell_angle_gamma 90.00
loop_
_atom_site_label
_atom_site_type_symbol
_atom_site_fract_x
_atom_site_fract_y
_atom_site_fract_z
Ca1 Ca 0.0000 0.0000 0.0983
Ca2 Ca 0.0000 0.0000 0.2943
Pr1 Pr 0.0000 0.0000 0.5000
Pd1 Pd 0.5000 0.5000 0.0000
Pd2 Pd 0.5000 0.5000 0.1971
Pd3 Pd 0.5000 0.5000 0.3989
```

# AlGaTc

AlGaTc after structural relaxation (PBE, Alexandria).

Values from the calculation:
Size of the total moment   0.00 Bohr magnetons per cell
ΔE_f   -87 meV per atom
VASP energy   -5.80 eV/atom
Relative energy among the computed polymorphs   251.2 meV per atom

CIF file:
```
data_AlGaTc
_space_group_name_H-M_alt 'P 3 m 1'
_space_group_IT_number 156
_space_group_name_Hall 'P 3 -2"'
_cell_length_a 4.3243
_cell_length_b 4.3243
_cell_length_c 2.7377
_cell_angle_alpha 90.00
_cell_angle_beta 90.00
_cell_angle_gamma 120.00
loop_
_atom_site_label
_atom_site_type_symbol
_atom_site_fract_x
_atom_site_fract_y
_atom_site_fract_z
Al1 Al 0.0000 0.0000 0.0000
Ga1 Ga 0.3333 0.6667 0.7255
Tc1 Tc 0.6667 0.3333 0.4245
```

# Fe2Co3Ge

Fe2Co3Ge after structural relaxation (PBE, Alexandria).

Values from the calculation:
Size of the total moment   20.03 Bohr magnetons per cell
ΔE_f   -127 meV per atom
VASP energy   -7.27 eV/atom
Relative energy among the computed polymorphs   0.0 meV per atom

CIF file:
```
data_Fe2Co3Ge
_space_group_name_H-M_alt 'P -3 m 1'
_space_group_IT_number 164
_space_group_name_Hall '-P 3 2"'
_cell_length_a 4.0351
_cell_length_b 4.0351
_cell_length_c 9.9367
_cell_angle_alpha 90.00
_cell_angle_beta 90.00
_cell_angle_gamma 120.00
loop_
_atom_site_label
_atom_site_type_symbol
_atom_site_fract_x
_atom_site_fract_y
_atom_site_fract_z
Fe1 Fe 0.0000 0.0000 0.0000
Fe2 Fe 0.0000 0.0000 0.5000
Fe3 Fe 0.3333 0.6667 0.1614
Co1 Co 0.0000 0.0000 0.2499
Co2 Co 0.3333 0.6667 0.4165
Co3 Co 0.3333 0.6667 0.9168
Ge1 Ge 0.3333 0.6667 0.6667
```

# PuUPt4

PuUPt4 after structural relaxation (PBE, Alexandria).

Values from the calculation:
Size of the total moment   32.22 Bohr magnetons per cell
ΔE_f   -771 meV per atom
VASP energy   -9.07 eV/atom

CIF file:
```
data_PuUPt4
_space_group_name_H-M_alt 'F -4 3 m'
_space_group_IT_number 216
_space_group_name_Hall 'F -4 2 3'
_cell_length_a 7.6874
_cell_length_b 7.6874
_cell_length_c 7.6874
_cell_angle_alpha 90.00
_cell_angle_beta 90.00
_cell_angle_gamma 90.00
loop_
_atom_site_label
_atom_site_type_symbol
_atom_site_fract_x
_atom_site_fract_y
_atom_site_fract_z
Pu1 Pu 0.0000 0.0000 0.0000
U1 U 0.2500 0.2500 0.7500
Pt1 Pt 0.1249 0.1249 0.3751
```

# Tb2Pm2Sn5

Tb2Pm2Sn5 after structural relaxation (PBE, Alexandria).

Values from the calculation:
Size of the total moment   0.00 Bohr magnetons per cell
ΔE_f   -574 meV per atom
VASP energy   -4.88 eV/atom

CIF file:
```
data_Tb2Pm2Sn5
_space_group_name_H-M_alt 'C m c e'
_space_group_IT_number 64
_space_group_name_Hall '-C 2ac 2'
_cell_length_a 16.3363
_cell_length_b 8.1220
_cell_length_c 8.1657
_cell_angle_alpha 90.00
_cell_angle_beta 90.00
_cell_angle_gamma 90.00
loop_
_atom_site_label
_atom_site_type_symbol
_atom_site_fract_x
_atom_site_fract_y
_atom_site_fract_z
Tb1 Tb 0.1880 0.0000 0.0000
Pm1 Pm 0.0000 0.1677 0.3315
Sn1 Sn 0.0000 0.0000 0.0000
Sn2 Sn 0.1393 0.1295 0.6277
```

# Li6YB3O9

Li6YB3O9 after structural relaxation (PBE, Alexandria).

Values from the calculation:
Size of the total moment   0.00 Bohr magnetons per cell
VASP energy   -6.83 eV/atom
Formation energy from raw total energies   -47.19 eV per formula unit

CIF file:
```
data_Li6YB3O9
_space_group_name_H-M_alt 'P 1 21/c 1'
_space_group_IT_number 14
_space_group_name_Hall '-P 2ybc'
_cell_length_a 7.2668
_cell_length_b 16.5384
_cell_length_c 6.7219
_cell_angle_alpha 90.00
_cell_angle_beta 105.40
_cell_angle_gamma 90.00
loop_
_atom_site_label
_atom_site_type_symbol
_atom_site_fract_x
_atom_site_fract_y
_atom_site_fract_z
Li1 Li 0.0465 0.0301 0.1701
Li2 Li 0.0617 0.7047 0.0457
Li3 Li 0.1930 0.5350 0.0556
Li4 Li 0.2146 0.2059 0.8649
Li5 Li 0.3625 0.0530 0.9149
Li6 Li 0.4285 0.0041 0.3240
Y1 Y 0.4202 0.6897 0.8472
B1 B 0.0607 0.6152 0.6894
B2 B 0.2140 0.1208 0.5007
B3 B 0.4163 0.6356 0.3382
O1 O 0.0375 0.0884 0.4139
O2 O 0.0786 0.6979 0.7286
O3 O 0.1052 0.0786 0.9229
O4 O 0.2235 0.5687 0.7712
O5 O 0.2401 0.2022 0.5574
O6 O 0.3541 0.6854 0.1662
O7 O 0.3798 0.0740 0.5419
O8 O 0.4123 0.5533 0.3238
O9 O 0.4924 0.6739 0.5277
```

# NaScMn2I

NaScMn2I after structural relaxation (PBE, Alexandria).

Values from the calculation:
Size of the total moment   7.37 Bohr magnetons per cell
VASP energy   -4.35 eV/atom
Formation energy from raw total energies   5.81 eV per formula unit

CIF file:
```
data_NaScMn2I
_space_group_name_H-M_alt 'P 4/m m m'
_space_group_IT_number 123
_space_group_name_Hall '-P 4 2'
_cell_length_a 5.0624
_cell_length_b 5.0624
_cell_length_c 5.3797
_cell_angle_alpha 90.00
_cell_angle_beta 90.00
_cell_angle_gamma 90.00
loop_
_atom_site_label
_atom_site_type_symbol
_atom_site_fract_x
_atom_site_fract_y
_atom_site_fract_z
Na1 Na 0.0000 0.0000 0.0000
Sc1 Sc 0.5000 0.5000 0.5000
Mn1 Mn 0.0000 0.5000 0.0000
I1 I 0.0000 0.0000 0.5000
```

# HoScNi

HoScNi after structural relaxation (PBE, Alexandria).

Values from the calculation:
Size of the total moment   0.00 Bohr magnetons per cell
ΔE_f   -170 meV per atom
VASP energy   -5.73 eV/atom
Relative energy among the computed polymorphs   159.0 meV per atom

CIF file:
```
data_HoScNi
_space_group_name_H-M_alt 'F -4 3 m'
_space_group_IT_number 216
_space_group_name_Hall 'F -4 2 3'
_cell_length_a 6.4720
_cell_length_b 6.4720
_cell_length_c 6.4720
_cell_angle_alpha 90.00
_cell_angle_beta 90.00
_cell_angle_gamma 90.00
loop_
_atom_site_label
_atom_site_type_symbol
_atom_site_fract_x
_atom_site_fract_y
_atom_site_fract_z
Ho1 Ho 0.0000 0.0000 0.0000
Sc1 Sc 0.0000 0.0000 0.5000
Ni1 Ni 0.2500 0.2500 0.2500
```

# RbP2SF

RbP2SF after structural relaxation (PBE, Alexandria).

Values from the calculation:
Size of the total moment   0.73 Bohr magnetons per cell
VASP energy   -3.15 eV/atom
Formation energy from raw total energies   2.06 eV per formula unit
Relative energy among the computed polymorphs   0.0 meV per atom

CIF file:
```
data_RbP2SF
_space_group_name_H-M_alt 'P 4/m m m'
_space_group_IT_number 123
_space_group_name_Hall '-P 4 2'
_cell_length_a 4.4214
_cell_length_b 4.4214
_cell_length_c 5.5540
_cell_angle_alpha 90.00
_cell_angle_beta 90.00
_cell_angle_gamma 90.00
loop_
_atom_site_label
_atom_site_type_symbol
_atom_site_fract_x
_atom_site_fract_y
_atom_site_fract_z
Rb1 Rb 0.0000 0.0000 0.0000
P1 P 0.0000 0.5000 0.5000
S1 S 0.5000 0.5000 0.0000
F1 F 0.5000 0.5000 0.5000
```

# LiSm2RhO5

LiSm2RhO5 after structural relaxation (PBE, Alexandria).

Values from the calculation:
Size of the total moment   4.01 Bohr magnetons per cell
VASP energy   -7.02 eV/atom
Formation energy from raw total energies   -19.67 eV per formula unit

CIF file:
```
data_LiSm2RhO5
_space_group_name_H-M_alt 'P 4/m b m'
_space_group_IT_number 127
_space_group_name_Hall '-P 4 2ab'
_cell_length_a 6.7047
_cell_length_b 6.7047
_cell_length_c 5.7691
_cell_angle_alpha 90.00
_cell_angle_beta 90.00
_cell_angle_gamma 90.00
loop_
_atom_site_label
_atom_site_type_symbol
_atom_site_fract_x
_atom_site_fract_y
_atom_site_fract_z
Li1 Li 0.0000 0.0000 0.0000
Sm1 Sm 0.1762 0.3238 0.5000
Rh1 Rh 0.0000 0.5000 0.0000
O1 O 0.0000 0.0000 0.5000
O2 O 0.1369 0.6369 0.2518
```

What is the size of the total moment in the fifth record?
20.03 Bohr magnetons per cell

Repeat the fifth record exactly.
# Fe2Co3Ge

Fe2Co3Ge after structural relaxation (PBE, Alexandria).

Values from the calculation:
Size of the total moment   20.03 Bohr magnetons per cell
ΔE_f   -127 meV per atom
VASP energy   -7.27 eV/atom
Relative energy among the computed polymorphs   0.0 meV per atom

CIF file:
```
data_Fe2Co3Ge
_space_group_name_H-M_alt 'P -3 m 1'
_space_group_IT_number 164
_space_group_name_Hall '-P 3 2"'
_cell_length_a 4.0351
_cell_length_b 4.0351
_cell_length_c 9.9367
_cell_angle_alpha 90.00
_cell_angle_beta 90.00
_cell_angle_gamma 120.00
loop_
_atom_site_label
_atom_site_type_symbol
_atom_site_fract_x
_atom_site_fract_y
_atom_site_fract_z
Fe1 Fe 0.0000 0.0000 0.0000
Fe2 Fe 0.0000 0.0000 0.5000
Fe3 Fe 0.3333 0.6667 0.1614
Co1 Co 0.0000 0.0000 0.2499
Co2 Co 0.3333 0.6667 0.4165
Co3 Co 0.3333 0.6667 0.9168
Ge1 Ge 0.3333 0.6667 0.6667
```

size of the total moment of number 9 (NaScMn2I)?
7.37 Bohr magnetons per cell

Which value of size of the total moment does entry 4 give?
0.00 Bohr magnetons per cell